[1]
DFT (GGA-PBE) results for a relaxed TaMoPd6 crystal.

Summary:
E_form: -0.282 eV per atom

```
data_TaMoPd6
_chemical_formula_sum 'Ta1 Mo1 Pd6'
_symmetry_space_group_name_H-M 'P m m 2'
_symmetry_Int_Tables_number 25
_symmetry_space_group_name_Hall 'P 2 -2'
_cell_length_a 4.573
_cell_length_b 5.486
_cell_length_c 4.864
_cell_angle_alpha 90.00
_cell_angle_beta 90.00
_cell_angle_gamma 90.00
loop_
_atom_site_label
_atom_site_type_symbol
_atom_site_fract_x
_atom_site_fract_y
_atom_site_fract_z
Ta1 Ta 0.000 0.000 0.000
Mo1 Mo 0.500 0.500 0.681
Pd1 Pd 0.000 0.252 0.504
Pd2 Pd 0.000 0.500 0.994
Pd3 Pd 0.500 0.000 0.680
Pd4 Pd 0.500 0.252 0.177
```

=====

[2]
DFT (GGA-PBE) results for a relaxed DyErTeO2 crystal.

Summary:
Distance to the lowest polymorph of the same formula: 0.0 kJ/mol of atoms

```
data_DyErTeO2
_chemical_formula_sum 'Dy2 Er2 Te2 O4'
_symmetry_space_group_name_H-M 'I 4 m m'
_symmetry_Int_Tables_number 107
_symmetry_space_group_name_Hall 'I 4 -2'
_cell_length_a 3.895
_cell_length_b 3.895
_cell_length_c 12.372
_cell_angle_alpha 90.00
_cell_angle_beta 90.00
_cell_angle_gamma 90.00
loop_
_atom_site_label
_atom_site_type_symbol
_atom_site_fract_x
_atom_site_fract_y
_atom_site_fract_z
Dy1 Dy 0.000 0.000 0.000
Er1 Er 0.000 0.000 0.325
Te1 Te 0.000 0.000 0.662
O1 O 0.000 0.500 0.411
```